1.
Here is an optimized crystal structure of SrLi2CaCo from Alexandria. Energies are from PBE.

## Properties
The crystal system is tetragonal. For the spin magnetization, the calculation gives 0.78 μB per cell. As for the raw total energy: -2.26 eV per atom.

Unit cell a=5.455 b=5.455 c=5.016 alpha=90.00 beta=90.00 gamma=90.00
Element x y z (fractional)
Sr1 0.000 0.000 0.000
Li1 0.000 0.500 0.500
Li2 0.500 0.000 0.500
Ca1 0.500 0.500 0.500
Co1 0.500 0.500 0.000



2.
Here is an optimized crystal structure of K2FeW from Alexandria. Energies are from PBE.

## Properties
The crystal system is cubic. For the spin magnetization, the calculation gives 0.10 μB per cell. As for the raw total energy: -3.99 eV per atom.

Unit cell a=5.186 b=5.186 c=5.186 alpha=60.00 beta=60.00 gamma=60.00
Element x y z (fractional)
K1 0.000 0.000 0.000
K2 0.250 0.250 0.250
Fe1 0.500 0.500 0.500
W1 0.750 0.750 0.750



3.
Here is an optimized crystal structure of LaCoB from Alexandria. Energies are from PBE.

## Properties
The crystal system is hexagonal. For the spin magnetization, the calculation gives 0.00 μB per cell. As for the raw total energy: -6.40 eV per atom.

Unit cell a=3.609 b=3.609 c=4.328 alpha=90.00 beta=90.00 gamma=120.00
Element x y z (fractional)
La1 0.000 0.000 0.000
Co1 0.333 0.667 0.500
B1 0.667 0.333 0.500



Q: The highest spin magnetization belongs to which entry?
A: SrLi2CaCo



Q: Which of these has the highest raw total energy?
A: SrLi2CaCo



Q: Which value of raw total energy does entry 2 give?
A: -3.99 eV per atom